[1]
The following is a DFT calculation (PBE-GGA) of AcSe2BrO8 after structural relaxation.

```
AcSe2BrO8
1.0
6.178 0.000 0.000
-3.089 5.350 0.000
0.000 0.000 7.292
Ac Se Br O
1 2 1 8
direct
0.000 0.000 0.000
0.667 0.333 0.290
0.333 0.667 0.710
0.000 0.000 0.500
0.812 0.188 0.198
0.812 0.624 0.198
0.376 0.188 0.198
0.624 0.812 0.802
0.333 0.667 0.487
0.667 0.333 0.513
0.188 0.812 0.802
0.188 0.376 0.802
```

* density: 4.08 g/cm3
* energy relative to the elements, uncorrected: -1.0057 eV per atom

[2]
The following is a DFT calculation (PBE-GGA) of AcSeBrO after structural relaxation.

```
AcSeBrO
1.0
-1.618 -1.353 -3.456
-0.382 -3.689 1.623
-13.482 3.559 4.920
Ac Se Br O
2 2 2 2
direct
0.750 0.750 0.908
0.250 0.250 0.092
0.250 0.750 0.500
0.750 0.250 0.500
0.750 0.750 0.210
0.250 0.250 0.790
0.750 0.250 0.000
0.250 0.750 0.000
```

* density: 5.51 g/cm3
* energy relative to the elements, uncorrected: -2.0915 eV per atom

[3]
The following is a DFT calculation (PBE-GGA) of AcSeBrO4 after structural relaxation.

```
AcSeBrO4
1.0
-0.551 -5.023 4.281
4.854 -4.377 -1.069
4.745 1.915 5.025
Ac Se Br O
2 2 2 8
direct
0.234 0.234 0.851
0.766 0.766 0.149
0.634 0.634 0.742
0.366 0.366 0.258
0.027 0.027 0.243
0.973 0.973 0.757
0.292 0.292 0.488
0.708 0.708 0.512
0.147 0.489 0.142
0.521 0.521 0.230
0.511 0.853 0.858
0.489 0.147 0.142
0.479 0.479 0.770
0.853 0.511 0.858
```

* density: 5.19 g/cm3
* energy relative to the elements, uncorrected: -1.6988 eV per atom

[4]
The following is a DFT calculation (PBE-GGA) of Ac2SeBr2O after structural relaxation.

```
Ac2SeBr2O
1.0
4.328 0.000 0.000
0.000 8.606 0.000
0.000 0.000 8.890
Ac Se Br O
4 2 4 2
direct
0.000 0.233 0.815
0.500 0.242 0.424
0.000 0.733 0.185
0.500 0.742 0.576
0.000 0.980 0.450
0.000 0.480 0.550
0.500 0.034 0.091
0.000 0.355 0.174
0.500 0.534 0.909
0.000 0.855 0.826
0.500 0.202 0.691
0.500 0.702 0.309
```

* density: 7.11 g/cm3
* energy relative to the elements, uncorrected: -2.4309 eV per atom

[5]
The following is a DFT calculation (PBE-GGA) of AcSe2BrO6 after structural relaxation.

```
AcSe2BrO6
1.0
7.253 0.671 -0.329
-0.223 7.281 -0.329
-2.355 -2.663 8.252
Ac Se Br O
2 4 2 12
direct
0.547 0.453 0.250
0.453 0.547 0.750
0.399 0.092 0.768
0.908 0.601 0.732
0.601 0.908 0.232
0.092 0.399 0.268
0.918 0.082 0.250
0.082 0.918 0.750
0.901 0.538 0.279
0.462 0.099 0.221
0.099 0.462 0.721
0.538 0.901 0.779
0.170 0.401 0.113
0.599 0.830 0.387
0.830 0.599 0.887
0.401 0.170 0.613
0.293 0.505 0.438
0.495 0.707 0.062
0.707 0.495 0.562
0.505 0.293 0.938
```

* density: 4.38 g/cm3
* energy relative to the elements, uncorrected: -1.3423 eV per atom

[6]
The following is a DFT calculation (PBE-GGA) of Ac3SnBr2O6 after structural relaxation.

```
Ac3SnBr2O6
1.0
-1.840 -2.224 -5.274
-3.713 -5.272 3.519
-3.366 5.942 -2.316
Ac Sn Br O
3 1 2 6
direct
0.000 0.500 0.000
0.500 0.500 0.500
0.500 0.000 0.500
0.500 0.000 0.000
0.096 0.734 0.468
0.904 0.266 0.532
0.696 0.299 0.104
0.304 0.701 0.896
0.641 0.842 0.685
0.359 0.158 0.315
0.304 0.195 0.896
0.696 0.805 0.104
```

* density: 6.46 g/cm3
* energy relative to the elements, uncorrected: -2.0835 eV per atom

[7]
The following is a DFT calculation (PBE-GGA) of AcSnBrO2 after structural relaxation.

```
AcSnBrO2
1.0
-1.148 3.186 -2.560
-6.116 -3.946 -2.169
-2.405 4.391 6.545
Ac Sn Br O
2 2 2 4
direct
0.250 0.673 0.409
0.750 0.327 0.591
0.250 0.649 0.919
0.750 0.351 0.081
0.250 0.055 0.712
0.750 0.945 0.288
0.750 0.506 0.374
0.250 0.494 0.626
0.750 0.504 0.887
0.250 0.496 0.113
```

* density: 5.94 g/cm3
* energy relative to the elements, uncorrected: -2.2332 eV per atom

[8]
The following is a DFT calculation (PBE-GGA) of SrAcBrO2 after structural relaxation.

```
SrAcBrO2
1.0
-2.299 -3.474 -0.884
0.810 -1.526 3.892
-4.857 5.600 0.878
Sr Ac Br O
1 1 1 2
direct
0.835 0.835 0.670
0.168 0.168 0.335
0.502 0.502 0.003
0.748 0.248 0.496
0.248 0.748 0.496
```

* density: 5.72 g/cm3
* energy relative to the elements, uncorrected: -2.8632 eV per atom

[9]
The following is a DFT calculation (PBE-GGA) of AcTcBrO4 after structural relaxation.

```
AcTcBrO4
1.0
6.762 0.083 -0.230
2.318 6.353 -0.230
1.603 1.136 7.027
Ac Tc Br O
2 2 2 8
direct
0.228 0.228 0.877
0.772 0.772 0.123
0.632 0.632 0.729
0.368 0.368 0.271
0.021 0.021 0.247
0.979 0.979 0.753
0.292 0.292 0.510
0.708 0.708 0.490
0.137 0.487 0.142
0.530 0.530 0.218
0.513 0.863 0.858
0.487 0.137 0.142
0.470 0.470 0.782
0.863 0.513 0.858
```

* density: 5.12 g/cm3
* energy relative to the elements, uncorrected: -2.0490 eV per atom

[10]
The following is a DFT calculation (PBE-GGA) of Ac3TcBr2O6 after structural relaxation.

```
Ac3TcBr2O6
1.0
6.029 0.000 0.731
0.000 6.995 0.000
0.226 -3.497 6.081
Ac Tc Br O
3 1 2 6
direct
0.000 0.500 0.000
0.500 0.500 0.500
0.500 0.000 0.500
0.500 0.000 0.000
0.093 0.734 0.468
0.907 0.266 0.532
0.687 0.283 0.110
0.313 0.717 0.890
0.653 0.848 0.696
0.347 0.152 0.304
0.313 0.173 0.890
0.687 0.827 0.110
```

* density: 6.73 g/cm3
* energy relative to the elements, uncorrected: -2.0866 eV per atom

[11]
The following is a DFT calculation (PBE-GGA) of AcTc2BrO8 after structural relaxation.

```
AcTc2BrO8
1.0
-3.934 3.350 -4.908
-2.353 -3.546 -5.716
-5.032 -1.539 3.290
Ac Tc Br O
1 2 1 8
direct
0.000 0.000 0.000
0.671 0.671 0.226
0.329 0.329 0.774
0.000 0.000 0.500
0.600 0.199 0.862
0.801 0.801 0.122
0.682 0.682 0.502
0.318 0.318 0.498
0.199 0.199 0.878
0.199 0.600 0.862
0.801 0.400 0.138
0.400 0.801 0.138
```

* density: 3.84 g/cm3
* energy relative to the elements, uncorrected: -1.8182 eV per atom

[12]
The following is a DFT calculation (PBE-GGA) of Ac3TeBr2O6 after structural relaxation.

```
Ac3TeBr2O6
1.0
-2.670 -1.849 5.073
-5.764 -1.804 -3.691
4.775 -5.142 1.844
Ac Te Br O
3 1 2 6
direct
0.000 0.500 0.000
0.500 0.500 0.500
0.500 0.000 0.500
0.500 0.000 0.000
0.098 0.725 0.451
0.902 0.275 0.549
0.692 0.290 0.113
0.308 0.710 0.887
0.655 0.846 0.691
0.345 0.154 0.309
0.308 0.177 0.887
0.692 0.823 0.113
```

* density: 6.63 g/cm3
* energy relative to the elements, uncorrected: -2.0236 eV per atom

[13]
The following is a DFT calculation (PBE-GGA) of Ac2Te2BrO6 after structural relaxation.

```
Ac2Te2BrO6
1.0
6.051 -0.042 -0.055
3.053 6.482 0.064
0.018 -3.604 6.099
Ac Te Br O
2 2 1 6
direct
0.858 0.281 0.810
0.142 0.719 0.190
0.232 0.537 0.616
0.768 0.463 0.384
0.500 0.000 0.500
0.426 0.585 0.843
0.009 0.417 0.157
0.080 0.841 0.630
0.991 0.583 0.843
0.920 0.159 0.370
0.574 0.415 0.157
```

* density: 6.07 g/cm3
* energy relative to the elements, uncorrected: -2.0360 eV per atom

[14]
The following is a DFT calculation (PBE-GGA) of Ac3TiBr2O6 after structural relaxation.

```
Ac3TiBr2O6
1.0
-3.642 -1.989 -4.388
-2.666 -4.945 4.453
-3.396 6.049 -1.085
Ac Ti Br O
3 1 2 6
direct
0.000 0.500 0.000
0.500 0.500 0.500
0.500 0.000 0.500
0.500 0.000 0.000
0.090 0.740 0.480
0.910 0.260 0.520
0.691 0.285 0.097
0.309 0.715 0.903
0.635 0.848 0.696
0.365 0.152 0.304
0.309 0.188 0.903
0.691 0.812 0.097
```

* density: 6.32 g/cm3
* energy relative to the elements, uncorrected: -2.4075 eV per atom

[15]
The following is a DFT calculation (PBE-GGA) of AcTlBrO after structural relaxation.

```
AcTlBrO
1.0
4.281 0.000 0.000
0.000 4.281 0.000
0.000 0.000 14.602
Ac Tl Br O
2 2 2 2
direct
0.750 0.750 0.914
0.250 0.250 0.086
0.250 0.750 0.500
0.750 0.250 0.500
0.750 0.750 0.198
0.250 0.250 0.802
0.750 0.250 0.000
0.250 0.750 0.000
```

* density: 6.54 g/cm3
* energy relative to the elements, uncorrected: -2.1027 eV per atom